The following is a GGA-PBE calculation of a geometry-optimized B2OF2 structure, from Alexandria.

The calculation puts the energy above the most stable polymorph in this dataset at 3.52 eV/f.u. The density of states at the Fermi level comes out at 0.37 states/eV/atom. The space group is I4/mmm (139). The energy relative to the elements, uncorrected is 0.9695 eV/atom.

```
B2OF2
1.0
-1.8106 1.8106 3.4982
1.8106 -1.8106 3.4982
1.8106 1.8106 -3.4982
B O F
2 1 2
Cartesian
1.8106 0.0000 1.7491 B
0.0000 1.8106 1.7491 B
0.0000 0.0000 0.0000 O
0.0000 0.0000 2.3645 F
0.0000 0.0000 4.6318 F
```

***

The following is a GGA-PBE calculation of a geometry-optimized ZrPtSe2N structure, from Alexandria.

The calculation puts the energy above the most stable polymorph in this dataset at 0.98 eV/f.u. The density of states at the Fermi level comes out at 1.09 states/eV/atom. The space group is P4/mmm (123). The energy relative to the elements, uncorrected is 0.4389 eV/atom.

```
ZrPtSe2N
1.0
5.2992 0.0000 0.0000
0.0000 5.2992 0.0000
0.0000 0.0000 3.9292
Zr Pt Se N
1 1 2 1
Cartesian
0.0000 0.0000 0.0000 Zr
2.6496 2.6496 1.9646 Pt
0.0000 2.6496 0.0000 Se
2.6496 0.0000 0.0000 Se
0.0000 0.0000 1.9646 N
```

***

The following is a GGA-PBE calculation of a geometry-optimized UPt8Au2 structure, from Alexandria.

The density of states at the Fermi level comes out at 0.88 states/eV/atom. The formation energy comes out at -2.9 eV per formula unit. The space group is Immm (71).

```
UPt8Au2
1.0
-1.9833 4.0446 6.0897
1.9833 -4.0446 6.0897
1.9833 4.0446 -6.0897
U Pt Au
1 8 2
Cartesian
0.0000 0.0000 0.0000 U
1.9833 -2.0557 4.0587 Pt
1.9833 0.0000 2.0120 Pt
1.9833 2.0289 0.0000 Pt
0.0000 1.9889 2.0310 Pt
1.9833 2.0557 4.0587 Pt
0.0000 2.0157 6.0897 Pt
0.0000 4.0446 4.0777 Pt
0.0000 6.1003 2.0310 Pt
0.0000 0.0000 4.2008 Au
0.0000 0.0000 7.9785 Au
```

***

The following is a GGA-PBE calculation of a geometry-optimized Nb2Fe2Co5Ge structure, from Alexandria.

The density of states at the Fermi level comes out at 1.07 states/eV/atom. The formation energy comes out at -0.3 eV per formula unit. The space group is P4/mbm (127).

```
Nb2Fe2Co5Ge
1.0
8.3164 0.0000 0.0000
0.0000 8.3164 0.0000
0.0000 0.0000 3.6560
Nb Fe Co Ge
4 4 10 2
Cartesian
1.4223 2.7358 0.0000 Nb
2.7358 6.8940 0.0000 Nb
5.5805 1.4223 0.0000 Nb
6.8940 5.5805 0.0000 Nb
1.0449 5.2031 0.0000 Fe
3.1133 1.0449 0.0000 Fe
5.2031 7.2714 0.0000 Fe
7.2714 3.1133 0.0000 Fe
0.0000 4.1582 1.8280 Co
0.5670 6.6028 1.8280 Co
1.7136 0.5670 1.8280 Co
2.4446 4.7251 1.8280 Co
3.5912 2.4446 1.8280 Co
4.1582 0.0000 1.8280 Co
4.7251 5.8717 1.8280 Co
5.8717 3.5912 1.8280 Co
6.6028 7.7494 1.8280 Co
7.7494 1.7136 1.8280 Co
0.0000 0.0000 0.0000 Ge
4.1582 4.1582 0.0000 Ge
```

***

What did we get for final energy? Answer: -3.442, -5.538, -6.280, -7.755 eV per atom, in the order shown.
What did we get for density? Answer: 2.74, 6.90, 18.63, 8.73 g cm⁻³, in the order shown.